# Mg2Cd2Ni, optimized geometry, DFT PBE-GGA
# Energy in eV for the cell shown: -20.5
# Symmetry: P4/mbm (127)
# V in Å³ per cell: 204.4
# Energy relative to the elements in eV per atom: 0.110
data_Mg2Cd2Ni
_cell_length_a 6.7979
_cell_length_b 6.7979
_cell_length_c 4.4242
_cell_angle_alpha 90.00
_cell_angle_beta 90.00
_cell_angle_gamma 90.00
_symmetry_space_group_name_H-M 'P 1'
_symmetry_Int_Tables_number 1
_symmetry_space_group_name_Hall 'P 1'
loop_
_atom_site_label
_atom_site_type_symbol
_atom_site_fract_x
_atom_site_fract_y
_atom_site_fract_z
Mg1 Mg 0.1691 0.3309 0.0000
Mg2 Mg 0.3309 0.8309 0.0000
Mg3 Mg 0.6691 0.1691 0.0000
Mg4 Mg 0.8309 0.6691 0.0000
Cd1 Cd 0.1480 0.6480 0.5000
Cd2 Cd 0.3520 0.1480 0.5000
Cd3 Cd 0.6480 0.8520 0.5000
Cd4 Cd 0.8520 0.3520 0.5000
Ni1 Ni 0.0000 0.0000 0.5000
Ni2 Ni 0.5000 0.5000 0.5000